No. 1
CaCuOs2O8: optimized geometry, PBE.

It has space group C2/m (No. 12), with a = 7.0247 Å, b = 6.6828 Å, c = 6.2402 Å, α = 90.00°, β = 91.17° and γ = 90.00°. The asymmetric unit holds Ca at (0.0000, 0.0000, 0.0000), Cu at (0.0000, 0.0000, 0.5000), Os at (0.0068, 0.5000, 0.2610), O at (0.0162, 0.2282, 0.7317), O at (0.1684, 0.5000, 0.0105) and O at (0.1924, 0.5000, 0.4972).

The value obtained for the raw formation energy is -1.235 eV/atom.

No. 2
NdGdRu: optimized geometry, PBE.

It has space group F-43m (No. 216), with a = 6.8893 Å, b = 6.8893 Å, c = 6.8893 Å, α = 90.00°, β = 90.00° and γ = 90.00°. The asymmetric unit holds Nd at (0.0000, 0.0000, 0.0000), Gd at (0.0000, 0.0000, 0.5000) and Ru at (0.2500, 0.2500, 0.2500).

The calculation puts the formation enthalpy at 0 K at -0.568 eV/f.u.

No. 3
KRuBr2: optimized geometry, PBE.

It has space group P2/m (No. 10), with a = 4.3836 Å, b = 3.8750 Å, c = 6.7760 Å, α = 90.00°, β = 101.65° and γ = 90.00°. The asymmetric unit holds K at (0.0000, 0.0000, 0.0000), Ru at (0.5000, 0.0000, 0.5000) and Br at (0.4107, 0.5000, 0.7195).

The value obtained for the raw formation energy is -0.236 eV/atom.

No. 4
Cs2KVTe4: optimized geometry, PBE.

It has space group Fddd (No. 70, origin choice 2), with a = 7.8529 Å, b = 14.5442 Å, c = 27.7397 Å, α = 90.00°, β = 90.00° and γ = 90.00°. The asymmetric unit holds Cs at (0.1250, 0.1250, 0.3093), K at (0.1250, 0.1250, 0.1250), V at (0.1250, 0.1250, 0.6250) and Te at (0.0508, 0.2730, 0.8204).

The value obtained for the raw formation energy is -0.679 eV/atom.

No. 5
InP3C: optimized geometry, PBE.

It has space group Pm-3m (No. 221), with a = 5.0575 Å, b = 5.0575 Å, c = 5.0575 Å, α = 90.00°, β = 90.00° and γ = 90.00°. The asymmetric unit holds In at (0.0000, 0.0000, 0.0000), P at (0.0000, 0.0000, 0.5000) and C at (0.5000, 0.5000, 0.5000).

The calculation puts the formation enthalpy at 0 K at 12.976 eV/f.u.

No. 6
BaErZn: optimized geometry, PBE.

It has space group I4mm (No. 107), with a = 3.8174 Å, b = 3.8174 Å, c = 13.5039 Å, α = 90.00°, β = 90.00° and γ = 90.00°. The asymmetric unit holds Ba at (0.0000, 0.0000, 0.0000), Er at (0.0000, 0.0000, 0.2706) and Zn at (0.0000, 0.0000, 0.6754).

The calculation puts the formation enthalpy at 0 K at -0.214 eV/f.u.

Number 1: final energy -6.920 eV per atom. Number 2: final energy -9.564 eV per atom. Number 3: final energy -3.666 eV per atom. Number 4: final energy -3.740 eV per atom. Number 5: final energy -3.043 eV per atom. Number 6: final energy -2.658 eV per atom.